Compound: CoAgS2N
Source: Alexandria
Functional: PBE-GGA
Structure: optimized geometry

The structure in POSCAR format:
```
CoAgS2N
1.0
4.773 0.000 0.000
0.000 4.773 0.000
0.000 0.000 3.357
Co Ag S N
1 1 2 1
Direct
0.000 0.000 0.000
0.500 0.500 0.500
0.000 0.500 0.000
0.500 0.000 0.000
0.000 0.000 0.500
```

Summary:
Spin magnetization ... 0.0 μB/cell
Calculated volume ... 15.292 Å³/atom
Theoretical density ... 5319 kg/m3
Raw formation energy ... 0.52 eV/atom
Total DFT energy (no corrections) ... -4.79 eV/atom
Density of states at the Fermi level ... 4.12 states/eV per cell